An optimized crystal structure of Pm4Te3Pb, computed with PBE-GGA.

The raw formation energy comes out at -1253 meV/atom. The energy above the most stable polymorph in this dataset is 0 meV per atom. The calculation puts the total energy at -5.270 eV/atom.

The space group is Pm-3m (No. 221) and the conventional cell measures 6.346, 6.346 and 6.346 Å, with angles of 90.00, 90.00 and 90.00 degrees. The asymmetric unit holds Pm at (0.000, 0.000, 0.000), Pm at (0.000, 0.500, 0.500), Te at (0.000, 0.000, 0.500) and Pb at (0.500, 0.500, 0.500).